--- a ---
Density functional theory data (PBE-GGA) for an optimized crystal structure of In2NiGe2.

Structure (POSCAR):
```
In2NiGe2
1.0
6.280 0.000 0.000
0.000 6.280 0.000
0.000 0.000 5.168
In Ni Ge
4 2 4
Direct
0.179 0.321 0.000
0.321 0.821 0.000
0.679 0.179 0.000
0.821 0.679 0.000
0.000 0.000 0.500
0.500 0.500 0.500
0.149 0.649 0.500
0.351 0.149 0.500
0.649 0.851 0.500
0.851 0.351 0.500
```

Summary:
total moment	0.0	μB per formula unit
symmetry	P4/mbm, No. 127



--- b ---
Density functional theory data (PBE-GGA) for an optimized crystal structure of In2NiGe2.

Structure (POSCAR):
```
In2NiGe2
1.0
4.011 0.000 0.000
0.000 4.011 0.000
0.000 0.000 14.111
In Ni Ge
4 2 4
Direct
0.000 0.500 0.250
0.000 0.500 0.750
0.500 0.000 0.250
0.500 0.000 0.750
0.000 0.000 0.000
0.500 0.500 0.500
0.000 0.000 0.414
0.000 0.000 0.586
0.500 0.500 0.086
0.500 0.500 0.914
```

Summary:
total moment	0.0	μB per formula unit
symmetry	I4/mmm, No. 139



a is preferred energetically. Next in line: 557 meV/atom higher.



--- a ---
Density functional theory data (PBE-GGA) for an optimized crystal structure of NpInGe.

Structure (POSCAR):
```
NpInGe
1.0
4.851 0.000 0.000
0.000 14.101 0.000
0.000 0.000 3.723
Np In Ge
4 4 4
Direct
0.000 0.056 0.250
0.000 0.944 0.750
0.500 0.444 0.750
0.500 0.556 0.250
0.000 0.260 0.750
0.000 0.740 0.250
0.500 0.240 0.250
0.500 0.760 0.750
0.000 0.429 0.250
0.000 0.571 0.750
0.500 0.071 0.750
0.500 0.929 0.250
```

Summary:
total moment	1.3	μB per formula unit
symmetry	Cmcm, No. 63



--- b ---
Density functional theory data (PBE-GGA) for an optimized crystal structure of NpInGe.

Structure (POSCAR):
```
NpInGe
1.0
5.090 0.000 0.000
-2.545 4.408 0.000
0.000 0.000 2.970
Np In Ge
1 1 1
Direct
0.000 0.000 0.000
0.667 0.333 0.500
0.333 0.667 0.500
```

Summary:
total moment	4.4	μB per formula unit
symmetry	P-6m2, No. 187



a is preferred energetically. Next in line: 124 meV/atom higher.



--- a ---
Density functional theory data (PBE-GGA) for an optimized crystal structure of In3GeO.

Structure (POSCAR):
```
In3GeO
1.0
4.806 0.000 0.000
0.000 4.806 0.000
0.000 0.000 4.806
In Ge O
3 1 1
Direct
0.000 0.000 0.500
0.000 0.500 0.000
0.500 0.000 0.000
0.500 0.500 0.500
0.000 0.000 0.000
```

Summary:
total moment	0.0	μB per formula unit
symmetry	Pm-3m, No. 221



--- b ---
Density functional theory data (PBE-GGA) for an optimized crystal structure of In3GeO.

Structure (POSCAR):
```
In3GeO
1.0
5.318 0.000 0.000
0.000 5.318 0.000
0.000 0.000 5.318
In Ge O
3 1 1
Direct
0.000 0.000 0.500
0.000 0.500 0.000
0.500 0.000 0.000
0.000 0.000 0.000
0.500 0.500 0.500
```

Summary:
total moment	0.0	μB per formula unit
symmetry	Pm-3m, No. 221



a is preferred energetically. Next in line: 719 meV/atom higher.